Entry 1:
# PBE RbSbCl2F, optimized geometry
data_RbSbCl2F
_chemical_formula_sum 'Rb1 Sb1 Cl2 F1'
_cell_length_a 5.746
_cell_length_b 5.746
_cell_length_c 4.467
_cell_angle_alpha 90.00
_cell_angle_beta 90.00
_cell_angle_gamma 90.00
_space_group_name_H-M_alt 'P 4/m m m'
_space_group_IT_number 123
_space_group_name_Hall '-P 4 2'
loop_
_atom_site_label
_atom_site_type_symbol
_atom_site_fract_x
_atom_site_fract_y
_atom_site_fract_z
Rb1 Rb 0.000 0.000 0.000
Sb1 Sb 0.500 0.500 0.500
Cl1 Cl 0.000 0.500 0.500
F1 F 0.500 0.500 0.000
# uncorrected formation energy: -1444 meV per atom
# DOS(E_F): 0.26 states/eV/atom

Entry 2:
# PBE Na2AlH5, optimized geometry
data_Na2AlH5
_chemical_formula_sum 'Na8 Al4 H20'
_cell_length_a 10.012
_cell_length_b 3.593
_cell_length_c 10.754
_cell_angle_alpha 90.00
_cell_angle_beta 90.00
_cell_angle_gamma 90.00
_space_group_name_H-M_alt 'P n m a'
_space_group_IT_number 62
_space_group_name_Hall '-P 2ac 2n'
loop_
_atom_site_label
_atom_site_type_symbol
_atom_site_fract_x
_atom_site_fract_y
_atom_site_fract_z
Na1 Na 0.110 0.250 0.209
Na2 Na 0.111 0.250 0.564
Al1 Al 0.162 0.250 0.882
H1 H 0.002 0.750 0.122
H2 H 0.006 0.250 0.379
H3 H 0.168 0.750 0.880
H4 H 0.234 0.250 0.020
H5 H 0.246 0.250 0.750
# VASP energy: -97.387 eV per cell
# DOS(E_F): 0.00 states/eV/atom

Entry 3:
# PBE Pr2LuSn, optimized geometry
data_Pr2LuSn
_chemical_formula_sum 'Pr2 Lu1 Sn1'
_cell_length_a 4.305
_cell_length_b 4.305
_cell_length_c 6.681
_cell_angle_alpha 90.00
_cell_angle_beta 90.00
_cell_angle_gamma 90.00
_space_group_name_H-M_alt 'P 4/m m m'
_space_group_IT_number 123
_space_group_name_Hall '-P 4 2'
loop_
_atom_site_label
_atom_site_type_symbol
_atom_site_fract_x
_atom_site_fract_y
_atom_site_fract_z
Pr1 Pr 0.000 0.000 0.234
Lu1 Lu 0.500 0.500 0.500
Sn1 Sn 0.500 0.500 0.000
# DOS(E_F): 0.71 states/eV/atom
# ΔE_f: -371 meV per atom

Entry 4:
# PBE La6Sm2TmSc, optimized geometry
data_La6Sm2TmSc
_chemical_formula_sum 'La12 Sm4 Tm2 Sc2'
_cell_length_a 11.619
_cell_length_b 7.074
_cell_length_c 8.814
_cell_angle_alpha 90.00
_cell_angle_beta 105.15
_cell_angle_gamma 90.00
_space_group_name_H-M_alt 'C 1 2/m 1'
_space_group_IT_number 12
_space_group_name_Hall '-C 2y'
loop_
_atom_site_label
_atom_site_type_symbol
_atom_site_fract_x
_atom_site_fract_y
_atom_site_fract_z
La1 La 0.126 0.000 0.398
La2 La 0.165 0.254 0.793
Sm1 Sm 0.095 0.500 0.170
Tm1 Tm 0.000 0.500 0.500
Sc1 Sc 0.000 0.000 0.000
# DOS(E_F): 1.80 states/eV/atom
# ΔE_f: 210 meV per atom

Entry 5:
# PBE Ag2C, optimized geometry
data_Ag2C
_chemical_formula_sum 'Ag4 C2'
_cell_length_a 3.7715
_cell_length_b 3.7715
_cell_length_c 7.5097
_cell_angle_alpha 90.00
_cell_angle_beta 90.00
_cell_angle_gamma 120.00
_space_group_name_H-M_alt 'P 63/m m c'
_space_group_IT_number 194
_space_group_name_Hall '-P 6c 2c'
loop_
_atom_site_label
_atom_site_type_symbol
_atom_site_fract_x
_atom_site_fract_y
_atom_site_fract_z
Ag1 Ag 0.0000 0.0000 0.0000
Ag2 Ag 0.3333 0.6667 0.2500
C1 C 0.3333 0.6667 0.7500
# DOS(E_F): 0.54 states/eV/atom
# ΔE_f: 1597 meV per atom

Entry 6:
# PBE InSi2Pt, optimized geometry
data_InSi2Pt
_chemical_formula_sum 'In3 Si6 Pt3'
_cell_length_a 3.9660
_cell_length_b 3.9660
_cell_length_c 17.7754
_cell_angle_alpha 90.00
_cell_angle_beta 90.00
_cell_angle_gamma 120.00
_space_group_name_H-M_alt 'R -3 m'
_space_group_IT_number 166
_space_group_name_Hall '-R 3 2"'
loop_
_atom_site_label
_atom_site_type_symbol
_atom_site_fract_x
_atom_site_fract_y
_atom_site_fract_z
In1 In 0.0000 0.0000 0.0000
Si1 Si 0.0000 0.0000 0.2178
Pt1 Pt 0.0000 0.0000 0.5000
# uncorrected formation energy: -145 meV per atom
# DOS(E_F): 0.34 states/eV/atom

Entry 7:
# PBE Ce3ThSb, optimized geometry
data_Ce3ThSb
_chemical_formula_sum 'Ce12 Th4 Sb4'
_cell_length_a 5.907
_cell_length_b 8.156
_cell_length_c 11.497
_cell_angle_alpha 90.00
_cell_angle_beta 90.00
_cell_angle_gamma 90.00
_space_group_name_H-M_alt 'I m m a'
_space_group_IT_number 74
_space_group_name_Hall '-I 2b 2'
loop_
_atom_site_label
_atom_site_type_symbol
_atom_site_fract_x
_atom_site_fract_y
_atom_site_fract_z
Ce1 Ce 0.000 0.250 0.224
Ce2 Ce 0.250 0.074 0.750
Th1 Th 0.000 0.250 0.479
Sb1 Sb 0.000 0.000 0.000
# uncorrected formation energy: -186 meV per atom
# DOS(E_F): 2.03 states/eV/atom

Entry 8:
# PBE AsPC, optimized geometry
data_AsPC
_chemical_formula_sum 'As4 P4 C4'
_cell_length_a 2.866
_cell_length_b 12.501
_cell_length_c 5.098
_cell_angle_alpha 90.00
_cell_angle_beta 90.00
_cell_angle_gamma 90.00
_space_group_name_H-M_alt 'C m c 21'
_space_group_IT_number 36
_space_group_name_Hall 'C 2c -2'
loop_
_atom_site_label
_atom_site_type_symbol
_atom_site_fract_x
_atom_site_fract_y
_atom_site_fract_z
As1 As 0.000 0.013 0.000
P1 P 0.000 0.207 0.036
C1 C 0.000 0.257 0.709
# DOS(E_F): 0.11 states/eV/atom
# ΔE_f: 380 meV per atom

Entry 9:
# PBE La2Sm, optimized geometry
data_La2Sm
_chemical_formula_sum 'La6 Sm3'
_cell_length_a 3.7139
_cell_length_b 3.7139
_cell_length_c 27.2185
_cell_angle_alpha 90.00
_cell_angle_beta 90.00
_cell_angle_gamma 120.00
_space_group_name_H-M_alt 'R -3 m'
_space_group_IT_number 166
_space_group_name_Hall '-R 3 2"'
loop_
_atom_site_label
_atom_site_type_symbol
_atom_site_fract_x
_atom_site_fract_y
_atom_site_fract_z
La1 La 0.0000 0.0000 0.2242
Sm1 Sm 0.0000 0.0000 0.0000
# DOS(E_F): 1.46 states/eV/atom
# ΔE_f: 22 meV per atom

Entry 10:
# PBE SbTe2IrF, optimized geometry
data_SbTe2IrF
_chemical_formula_sum 'Sb1 Te2 Ir1 F1'
_cell_length_a 5.293
_cell_length_b 5.293
_cell_length_c 5.102
_cell_angle_alpha 90.00
_cell_angle_beta 90.00
_cell_angle_gamma 90.00
_space_group_name_H-M_alt 'P 4/m m m'
_space_group_IT_number 123
_space_group_name_Hall '-P 4 2'
loop_
_atom_site_label
_atom_site_type_symbol
_atom_site_fract_x
_atom_site_fract_y
_atom_site_fract_z
Sb1 Sb 0.000 0.000 0.000
Te1 Te 0.000 0.500 0.500
Ir1 Ir 0.000 0.000 0.500
F1 F 0.500 0.500 0.000
# uncorrected formation energy: 271 meV per atom
# DOS(E_F): 1.64 states/eV/atom

Entry 11:
# PBE Nd3AuCl3, optimized geometry
data_Nd3AuCl3
_chemical_formula_sum 'Nd24 Au8 Cl24'
_cell_length_a 11.900
_cell_length_b 11.900
_cell_length_c 11.900
_cell_angle_alpha 90.00
_cell_angle_beta 90.00
_cell_angle_gamma 90.00
_space_group_name_H-M_alt 'I 41 3 2'
_space_group_IT_number 214
_space_group_name_Hall 'I 4bd 2c 3'
loop_
_atom_site_label
_atom_site_type_symbol
_atom_site_fract_x
_atom_site_fract_y
_atom_site_fract_z
Nd1 Nd 0.120 0.370 0.125
Au1 Au 0.125 0.125 0.125
Cl1 Cl 0.124 0.126 0.625
# uncorrected formation energy: -1501 meV per atom
# DOS(E_F): 0.80 states/eV/atom

Entry 12:
# PBE Er12Tl2In5, optimized geometry
data_Er12Tl2In5
_chemical_formula_sum 'Er24 Tl4 In10'
_cell_length_a 16.379
_cell_length_b 7.194
_cell_length_c 9.929
_cell_angle_alpha 90.00
_cell_angle_beta 92.90
_cell_angle_gamma 90.00
_space_group_name_H-M_alt 'C 1 2/m 1'
_space_group_IT_number 12
_space_group_name_Hall '-C 2y'
loop_
_atom_site_label
_atom_site_type_symbol
_atom_site_fract_x
_atom_site_fract_y
_atom_site_fract_z
Er1 Er 0.023 0.000 0.315
Er2 Er 0.098 0.500 0.828
Er3 Er 0.146 0.238 0.559
Er4 Er 0.180 0.257 0.120
Tl1 Tl 0.000 0.214 0.000
In1 In 0.000 0.500 0.500
In2 In 0.154 0.000 0.837
In3 In 0.219 0.000 0.344
# DOS(E_F): 0.97 states/eV/atom
# ΔE_f: -88 meV per atom

Entry 13:
# PBE BaY2Au, optimized geometry
data_BaY2Au
_chemical_formula_sum 'Ba1 Y2 Au1'
_cell_length_a 4.824
_cell_length_b 4.824
_cell_length_c 5.365
_cell_angle_alpha 90.00
_cell_angle_beta 90.00
_cell_angle_gamma 90.00
_space_group_name_H-M_alt 'P 4/m m m'
_space_group_IT_number 123
_space_group_name_Hall '-P 4 2'
loop_
_atom_site_label
_atom_site_type_symbol
_atom_site_fract_x
_atom_site_fract_y
_atom_site_fract_z
Ba1 Ba 0.000 0.000 0.000
Y1 Y 0.000 0.500 0.500
Au1 Au 0.500 0.500 0.000
# DOS(E_F): 1.22 states/eV/atom
# ΔE_f: -7 meV per atom

Entry 14:
# PBE LaCo2Au, optimized geometry
data_LaCo2Au
_chemical_formula_sum 'La2 Co4 Au2'
_cell_length_a 5.886
_cell_length_b 8.622
_cell_length_c 3.230
_cell_angle_alpha 90.00
_cell_angle_beta 118.37
_cell_angle_gamma 90.00
_space_group_name_H-M_alt 'C 1 2/m 1'
_space_group_IT_number 12
_space_group_name_Hall '-C 2y'
loop_
_atom_site_label
_atom_site_type_symbol
_atom_site_fract_x
_atom_site_fract_y
_atom_site_fract_z
La1 La 0.000 0.000 0.000
Co1 Co 0.250 0.250 0.500
Au1 Au 0.000 0.500 0.000
# DOS(E_F): 1.33 states/eV/atom
# ΔE_f: 284 meV per atom